Version A
Computed, not measured: Mg3GeRh after structural relaxation at the PBE level of DFT.

Unit cell a=6.294 b=6.294 c=7.001 alpha=120.75 beta=120.75 gamma=77.88
Fractional positions:
Mg1 0.033 0.033 0.324
Mg2 0.093 0.471 0.228
Mg3 0.471 0.093 0.228
Mg4 0.529 0.907 0.772
Mg5 0.907 0.529 0.772
Mg6 0.967 0.967 0.676
Ge1 0.396 0.396 0.652
Ge2 0.604 0.604 0.348
Rh1 0.315 0.315 0.919
Rh2 0.685 0.685 0.081

Properties
- Total moment: 0.00 μB/f.u.

Version B
Computed, not measured: Mg3GeRh after structural relaxation at the PBE level of DFT.

Unit cell a=4.883 b=4.883 c=4.883 alpha=90.00 beta=90.00 gamma=90.00
Fractional positions:
Mg1 0.000 0.000 0.500
Mg2 0.000 0.500 0.000
Mg3 0.500 0.000 0.000
Ge1 0.500 0.500 0.500
Rh1 0.000 0.000 0.000

Properties
- Total moment: 0.00 μB/f.u.

Q: What are the energies relative to the best structure? A: version A 0; version B 403, in meV/atom.